(1)
## RbV2Cr (GGA-PBE)

Data for a relaxed RbV2Cr crystal.

Cell lengths 7.011, 7.011, 9.743 Å; angles 90.00, 90.00, 90.00 degrees
Space group I4_1/amd (No. 141, origin choice 2)
One atom of each set of equivalent atoms:
Rb1 0.000 0.250 0.375 [4 per cell]
V1 0.000 0.000 0.000 [8 per cell]
Cr1 0.000 0.250 0.875 [4 per cell]

V: 479 Å³/cell
crystal system: tetragonal
energy above the most stable polymorph in this dataset: 0 meV/atom


(2)
## SmZn2BIr2 (GGA-PBE)

Data for a relaxed SmZn2BIr2 crystal.

Cell lengths 4.149, 4.149, 5.657 Å; angles 90.00, 90.00, 90.00 degrees
Space group P4/mmm (No. 123)
One atom of each set of equivalent atoms:
Sm1 0.000 0.000 0.000 [1 per cell]
Zn1 0.500 0.500 0.215 [2 per cell]
B1 0.000 0.000 0.500 [1 per cell]
Ir1 0.000 0.500 0.500 [2 per cell]

V: 97 Å³/cell
crystal system: tetragonal
total energy: -5.81 eV per atom


(3)
## TlReMo2 (GGA-PBE)

Data for a relaxed TlReMo2 crystal.

Cell lengths 9.654, 3.080, 4.787 Å; angles 90.00, 104.31, 90.00 degrees
Space group C2/m (No. 12)
One atom of each set of equivalent atoms:
Tl1 0.000 0.000 0.000 [2 per cell]
Re1 0.000 0.500 0.500 [2 per cell]
Mo1 0.238 0.000 0.714 [4 per cell]

V: 138 Å³/cell
crystal system: monoclinic
energy above the most stable polymorph in this dataset: 217 meV/atom


(4)
## Tb2HfMgAs4 (GGA-PBE)

Data for a relaxed Tb2HfMgAs4 crystal.

Cell lengths 6.899, 4.016, 7.008 Å; angles 90.00, 109.85, 90.00 degrees
Space group P2/m (No. 10)
One atom of each set of equivalent atoms:
Tb1 0.000 0.000 0.000 [1 per cell]
Tb2 0.000 0.500 0.500 [1 per cell]
Hf1 0.500 0.000 0.500 [1 per cell]
Mg1 0.500 0.500 0.000 [1 per cell]
As1 0.267 0.500 0.260 [2 per cell]
As2 0.269 0.000 0.752 [2 per cell]

V: 183 Å³/cell
crystal system: monoclinic
total energy: -6.05 eV per atom


(5)
## Rb2Np2CuS6 (GGA-PBE)

Data for a relaxed Rb2Np2CuS6 crystal.

Cell lengths 6.506, 12.595, 8.090 Å; angles 90.00, 104.53, 90.00 degrees
Space group C2/m (No. 12)
One atom of each set of equivalent atoms:
Rb1 0.000 0.149 0.000 [4 per cell]
Np1 0.000 0.338 0.500 [4 per cell]
Cu1 0.000 0.000 0.500 [2 per cell]
S1 0.239 0.191 0.692 [8 per cell]
S2 0.248 0.000 0.345 [4 per cell]

V: 642 Å³/cell
crystal system: monoclinic
formation energy (no corrections): -1.09 eV/atom


(6)
## CsRhW3 (GGA-PBE)

Data for a relaxed CsRhW3 crystal.

Cell lengths 4.952, 4.952, 4.952 Å; angles 90.00, 90.00, 90.00 degrees
Space group Pm-3m (No. 221)
One atom of each set of equivalent atoms:
Cs1 0.000 0.000 0.000 [1 per cell]
Rh1 0.500 0.500 0.500 [1 per cell]
W1 0.000 0.500 0.500 [3 per cell]

V: 121 Å³/cell
crystal system: cubic
energy above the most stable polymorph in this dataset: 0 meV/atom


(7)
## CdNi2Sb (GGA-PBE)

Data for a relaxed CdNi2Sb crystal.

Cell lengths 4.228, 3.300, 5.257 Å; angles 90.00, 112.92, 90.00 degrees
Space group P2/m (No. 10)
One atom of each set of equivalent atoms:
Cd1 0.000 0.000 0.000 [1 per cell]
Ni1 0.000 0.000 0.500 [1 per cell]
Ni2 0.500 0.500 0.000 [1 per cell]
Sb1 0.500 0.500 0.500 [1 per cell]

V: 68 Å³/cell
crystal system: monoclinic
formation energy (no corrections): 0.15 eV/atom


(8)
## Ac4CoSe2Br (GGA-PBE)

Data for a relaxed Ac4CoSe2Br crystal.

Cell lengths 7.881, 4.264, 7.931 Å; angles 90.00, 107.90, 90.00 degrees
Space group P2/m (No. 10)
One atom of each set of equivalent atoms:
Ac1 0.219 0.000 0.212 [2 per cell]
Ac2 0.254 0.500 0.768 [2 per cell]
Co1 0.000 0.500 0.000 [1 per cell]
Se1 0.500 0.000 0.000 [1 per cell]
Se2 0.500 0.500 0.500 [1 per cell]
Br1 0.000 0.000 0.500 [1 per cell]

V: 254 Å³/cell
crystal system: monoclinic
formation energy (no corrections): -1.19 eV/atom


(9)
## Pr5SnIr2 (GGA-PBE)

Data for a relaxed Pr5SnIr2 crystal.

Cell lengths 8.078, 8.078, 14.050 Å; angles 90.00, 90.00, 90.00 degrees
Space group I4/mcm (No. 140)
One atom of each set of equivalent atoms:
Pr1 0.000 0.000 0.000 [4 per cell]
Pr2 0.161 0.339 0.134 [16 per cell]
Sn1 0.000 0.000 0.250 [4 per cell]
Ir1 0.138 0.362 0.500 [8 per cell]

V: 917 Å³/cell
crystal system: tetragonal
total energy: -6.32 eV per atom


(10)
## AcMnSb2 (GGA-PBE)

Data for a relaxed AcMnSb2 crystal.

Cell lengths 4.8272, 4.8272, 16.7802 Å; angles 90.00, 90.00, 120.00 degrees
Space group R-3m (No. 166, hexagonal axes)
One atom of each set of equivalent atoms:
Ac1 0.0000 0.0000 0.0000 [3 per cell]
Mn1 0.0000 0.0000 0.5000 [3 per cell]
Sb1 0.0000 0.0000 0.2187 [6 per cell]

V: 339 Å³/cell
crystal system: trigonal
formation energy (no corrections): -0.38 eV/atom
energy above the most stable polymorph in this dataset: 0 meV/atom


(11)
## NbNiPS2 (GGA-PBE)

Data for a relaxed NbNiPS2 crystal.

Cell lengths 4.373, 4.373, 4.307 Å; angles 90.00, 90.00, 90.00 degrees
Space group P4/mmm (No. 123)
One atom of each set of equivalent atoms:
Nb1 0.000 0.000 0.000 [1 per cell]
Ni1 0.500 0.500 0.500 [1 per cell]
P1 0.500 0.500 0.000 [1 per cell]
S1 0.000 0.500 0.500 [2 per cell]

V: 82 Å³/cell
crystal system: tetragonal
formation energy (no corrections): 0.42 eV/atom
energy above the most stable polymorph in this dataset: 0 meV/atom


(12)
## Ce2Ni7P4 (GGA-PBE)

Data for a relaxed Ce2Ni7P4 crystal.

Cell lengths 3.767, 9.166, 10.361 Å; angles 90.00, 90.00, 90.00 degrees
Space group Pmn2_1 (No. 31)
One atom of each set of equivalent atoms:
Ce1 0.000 0.059 0.000 [2 per cell]
Ce2 0.000 0.439 0.222 [2 per cell]
Ni1 0.000 0.059 0.697 [2 per cell]
Ni2 0.000 0.101 0.300 [2 per cell]
Ni3 0.000 0.306 0.789 [2 per cell]
Ni4 0.000 0.421 0.531 [2 per cell]
Ni5 0.000 0.686 0.486 [2 per cell]
Ni6 0.000 0.721 0.889 [2 per cell]
Ni7 0.000 0.745 0.121 [2 per cell]
P1 0.000 0.184 0.505 [2 per cell]
P2 0.000 0.472 0.940 [2 per cell]
P3 0.000 0.811 0.687 [2 per cell]
P4 0.000 0.845 0.309 [2 per cell]

V: 358 Å³/cell
crystal system: orthorhombic
total energy: -6.55 eV per atom